Here is an optimized crystal structure of Al2ReHg2 from Alexandria. Energies are from PBE-GGA.

Values from the calculation:
**Fermi-level density of states**: 2.8 states/eV/f.u.
**Space-group type**: P4/mbm
**Offset from the most stable computed form**: 0 meV per atom
**Crystal system**: tetragonal
**Total energy**: -3.591 eV/atom

Lattice parameters (Å, degrees): 6.825 6.825 3.907 90.00 90.00 90.00
Fractional coordinates of all 10 atoms:
Hg1 0.158 0.658 0.500
Al1 0.650 0.150 0.000
Hg2 0.342 0.158 0.500
Al2 0.850 0.650 0.000
Hg3 0.658 0.842 0.500
Re1 0.000 0.000 0.000
Al3 0.350 0.850 0.000
Re2 0.500 0.500 0.000
Hg4 0.842 0.342 0.500
Al4 0.150 0.350 0.000